Entry 1:
{"formula": "La2CdGe2Rh5", "functional": "PBE-GGA", "state": "optimized geometry", "volume_a3_per_atom": 18.61, "ef_ev_per_fu": -6.8, "dos_ef_per_ev_cell": 5.53, "lattice_angstrom": [[10.102, 0.000, 0.000], [0.000, 10.102, 0.000], [0.000, 0.000, 3.646]], "species": ["La", "La", "La", "La", "Cd", "Cd", "Ge", "Ge", "Ge", "Ge", "Rh", "Rh", "Rh", "Rh", "Rh", "Rh", "Rh", "Rh", "Rh", "Rh"], "fractional_positions": [[0.177, 0.323, 0.000], [0.323, 0.823, 0.000], [0.677, 0.177, 0.000], [0.823, 0.677, 0.000], [0.000, 0.000, 0.000], [0.500, 0.500, 0.000], [0.121, 0.621, 0.000], [0.379, 0.121, 0.000], [0.621, 0.879, 0.000], [0.879, 0.379, 0.000], [0.000, 0.500, 0.500], [0.068, 0.784, 0.500], [0.216, 0.068, 0.500], [0.284, 0.568, 0.500], [0.432, 0.284, 0.500], [0.500, 0.000, 0.500], [0.568, 0.716, 0.500], [0.716, 0.432, 0.500], [0.784, 0.932, 0.500], [0.932, 0.216, 0.500]]}

Entry 2:
{"formula": "LaCdGe2Rh5", "functional": "PBE-GGA", "state": "optimized geometry", "volume_a3_per_atom": 18.03, "ef_ev_per_fu": -3.1, "dos_ef_per_ev_cell": 1.27, "lattice_angstrom": [[4.632, 0.000, 0.000], [0.000, 4.632, 0.000], [0.000, 0.000, 7.562]], "species": ["La", "Cd", "Ge", "Ge", "Rh", "Rh", "Rh", "Rh", "Rh"], "fractional_positions": [[0.000, 0.000, 0.000], [0.000, 0.000, 0.500], [0.500, 0.500, 0.329], [0.500, 0.500, 0.671], [0.000, 0.500, 0.267], [0.000, 0.500, 0.733], [0.500, 0.000, 0.267], [0.500, 0.000, 0.733], [0.500, 0.500, 0.000]]}

Entry 3:
{"formula": "La2CdGe4Rh3", "functional": "PBE-GGA", "state": "optimized geometry", "volume_a3_per_atom": 19.89, "ef_ev_per_fu": -7.4, "dos_ef_per_ev_cell": 7.14, "lattice_angstrom": [[4.370, 0.000, 0.000], [0.000, 4.370, 0.000], [0.000, 0.000, 10.411]], "species": ["La", "La", "Cd", "Ge", "Ge", "Ge", "Ge", "Rh", "Rh", "Rh"], "fractional_positions": [[0.000, 0.500, 0.236], [0.500, 0.000, 0.764], [0.000, 0.000, 0.500], [0.000, 0.000, 0.000], [0.000, 0.500, 0.647], [0.500, 0.000, 0.353], [0.500, 0.500, 0.000], [0.000, 0.500, 0.882], [0.500, 0.000, 0.118], [0.500, 0.500, 0.500]]}

Entry 4:
{"formula": "La2CdGeRu", "functional": "PBE-GGA", "state": "optimized geometry", "volume_a3_per_atom": 29.07, "ef_ev_per_fu": -1.8, "dos_ef_per_ev_cell": 4.06, "lattice_angstrom": [[5.503, 0.000, 0.000], [0.000, 5.503, 0.000], [0.000, 0.000, 4.799]], "species": ["La", "La", "Cd", "Ge", "Ru"], "fractional_positions": [[0.000, 0.500, 0.000], [0.500, 0.000, 0.000], [0.000, 0.000, 0.500], [0.500, 0.500, 0.500], [0.500, 0.500, 0.000]]}

Entry 5:
{"formula": "LaScCdGe", "functional": "PBE-GGA", "state": "optimized geometry", "volume_a3_per_atom": 24.30, "ef_ev_per_fu": -1.8, "dos_ef_per_ev_cell": 2.75, "lattice_angstrom": [[0.000, 3.649, 3.649], [3.649, 0.000, 3.649], [3.649, 3.649, 0.000]], "species": ["La", "Sc", "Cd", "Ge"], "fractional_positions": [[0.000, 0.000, 0.000], [0.500, 0.500, 0.500], [0.750, 0.750, 0.750], [0.250, 0.250, 0.250]]}

Entry 6:
{"formula": "SrLa2Cd2Ge2", "functional": "PBE-GGA", "state": "optimized geometry", "volume_a3_per_atom": 28.25, "ef_ev_per_fu": -2.4, "dos_ef_per_ev_cell": 5.95, "lattice_angstrom": [[2.415, 1.394, 9.789], [-2.415, 1.394, 9.789], [0.000, -2.788, 9.789]], "species": ["Sr", "La", "La", "Cd", "Cd", "Ge", "Ge"], "fractional_positions": [[0.000, 0.000, 0.000], [0.133, 0.133, 0.133], [0.867, 0.867, 0.867], [0.408, 0.408, 0.408], [0.592, 0.592, 0.592], [0.254, 0.254, 0.254], [0.746, 0.746, 0.746]]}

Entry 7:
{"formula": "LaTbCdGe", "functional": "PBE-GGA", "state": "optimized geometry", "volume_a3_per_atom": 26.20, "ef_ev_per_fu": -2.0, "dos_ef_per_ev_cell": 2.71, "lattice_angstrom": [[0.000, 3.742, 3.742], [3.742, 0.000, 3.742], [3.742, 3.742, 0.000]], "species": ["La", "Tb", "Cd", "Ge"], "fractional_positions": [[0.000, 0.000, 0.000], [0.500, 0.500, 0.500], [0.750, 0.750, 0.750], [0.250, 0.250, 0.250]]}

Entry 8:
{"formula": "La2CdGeTe", "functional": "PBE-GGA", "state": "optimized geometry", "volume_a3_per_atom": 38.78, "formation_energy_uncorrected_ev_per_atom": -0.033, "dos_ef_per_ev_cell": 4.38, "lattice_angstrom": [[5.990, 0.000, 0.000], [0.000, 5.990, 0.000], [0.000, 0.000, 5.404]], "species": ["La", "La", "Cd", "Ge", "Te"], "fractional_positions": [[0.000, 0.500, 0.000], [0.500, 0.000, 0.000], [0.000, 0.000, 0.500], [0.500, 0.500, 0.500], [0.500, 0.500, 0.000]]}